The following is a DFT calculation (PBE-GGA) of an optimized crystal structure of As7Pb6.

The value obtained for the energy of formation is 2.221 eV/f.u. The value obtained for the density of states at the Fermi level is 6.47 states/eV/cell. The theoretical density comes out at 8.80 g/cm³.

```
13
Lattice="11.660 0.225 0.137 10.070 5.882 0.137 10.070 2.830 5.159" Properties=species:S:1:pos:R:3 pbc="T T T"
As 13.733 2.426 3.090
As 15.900 4.469 2.716
Pb 1.585 0.446 0.271
As 13.733 3.860 0.730
Pb 10.273 2.887 1.755
Pb 21.528 6.051 3.678
As 18.068 6.513 2.342
Pb 5.305 1.491 0.906
Pb 30.216 8.493 5.162
As 12.986 5.084 3.090
As 18.815 3.854 2.342
Pb 26.495 7.447 4.526
As 18.068 5.078 4.702
```